Computed, not measured: an optimized crystal structure of K2CdTc at the PBE level of DFT.

Cell: 2.8904 5.8155 6.1945 Å, 90.00 97.25 90.00°
Last column: nearest neighbours and their distance in Å.
Positions (direct):
K 0.0049 0.0000 0.2585  4 K 2.89-3.20
K 0.9951 0.0000 0.7415  4 K 2.89-3.20
Cd 0.5000 0.5000 0.0000  2 Cd 2.89, 2 Tc 3.10
Tc 0.5000 0.5000 0.5000  2 Tc 2.89, 2 Cd 3.10

calculated density = 4.64 g cm⁻³
Fermi-level density of states = 1.0125 states/eV per atom
space-group type = P2/m, No. 10
total magnetization = 0.58 μB/f.u.
uncorrected energy = -9.36 eV per cell